An optimized crystal structure of Tb2Pd3, computed with PBE-GGA.

The value obtained for the total magnetization is 0.0 μB/cell. As for the density of states at the Fermi level: 0.532 states/eV/atom. The calculation puts the energy relative to the elements at -0.7618 eV per atom. For the total energy, the calculation gives -5.73 eV/atom.

```
data_Tb2Pd3
_cell_length_a 4.4389
_cell_length_b 4.4389
_cell_length_c 19.5954
_cell_angle_alpha 90.00
_cell_angle_beta 90.00
_cell_angle_gamma 120.00
_space_group_name_H-M_alt 'R -3 m'
_space_group_IT_number 166
_space_group_name_Hall '-R 3 2"'
loop_
_atom_site_label
_atom_site_type_symbol
_atom_site_fract_x
_atom_site_fract_y
_atom_site_fract_z
_atom_site_occupancy
Tb1 Tb 0.0000 0.0000 0.0903 1
Pd1 Pd 0.0000 0.0000 0.3541 1
Pd2 Pd 0.0000 0.0000 0.5000 1
```